(1)
80
Lattice="-8.504 -0.003 -11.381 0.218 -12.989 5.753 -4.869 9.327 9.547" Properties=species:S:1:pos:R:3 comment="Tl3In5Ga12 (PBE, optimized geometry)" total_magnetization_mub_per_atom=0.00 dft_energy_ev_per_atom=-2.62 formation_energy_ev_per_atom=0.23 dos_at_fermi_per_ev_fu=9.58 pbc="T T T"
Tl -6.905 -3.707 -5.185
Tl -7.886 -8.579 -4.451
Tl -6.069 -3.913 6.014
Tl -3.925 1.873 1.454
Tl -8.631 0.705 -6.853
Tl -4.270 -5.788 1.714
Tl -8.885 2.123 2.204
Tl -4.524 -4.370 10.772
Tl -9.231 -5.538 2.465
Tl -7.087 0.248 -2.095
Tl -5.269 4.914 8.369
Tl -6.250 0.042 9.104
In -2.199 -2.539 3.121
In 0.109 -6.494 2.876
In 0.000 0.000 0.000
In -3.743 -2.083 -1.636
In -6.687 4.662 -0.917
In -4.143 -6.496 -2.814
In -2.726 -6.244 6.472
In -10.611 6.535 0.537
In -8.068 -4.623 -1.360
In -6.814 5.371 3.612
In -6.342 -9.036 0.307
In -6.578 -1.833 1.959
In -4.252 -0.002 -5.691
In -2.435 4.664 4.774
In -5.088 0.958 5.279
In -2.544 -10.200 3.382
In -2.326 -1.831 7.650
In -10.430 2.579 -2.553
In -9.412 -1.582 5.555
In -10.957 -1.126 0.797
Ga -6.528 -1.196 -6.904
Ga -4.792 -3.379 3.539
Ga -9.159 -2.193 -6.002
Ga -5.448 -1.726 -3.774
Ga -8.132 -3.308 3.827
Ga -8.623 -5.894 -5.737
Ga -4.650 -6.170 4.498
Ga -1.104 -10.473 5.718
Ga -7.915 -5.909 5.210
Ga -6.916 -6.157 -3.341
Ga -8.182 -2.271 -2.796
Ga -7.211 -11.421 -3.518
Ga -3.788 -4.237 8.037
Ga -3.426 -4.676 -0.753
Ga -2.347 -8.680 7.710
Ga -6.218 3.529 1.647
Ga -1.893 0.012 2.120
Ga -3.896 -7.976 -0.401
Ga -8.191 -9.289 -1.723
Ga -1.455 -4.600 1.447
Ga -6.595 -4.971 8.591
Ga -6.714 -4.518 1.040
Ga -10.460 -5.545 -0.345
Ga -10.864 4.121 1.846
Ga -6.441 0.853 2.879
Ga -2.695 1.880 4.263
Ga -2.292 -7.786 2.073
Ga -4.965 5.624 5.642
Ga -6.561 1.306 -4.672
Ga -11.700 0.935 2.472
Ga -9.259 4.311 4.319
Ga -6.938 -7.194 2.272
Ga -11.263 -3.677 1.799
Ga -10.809 5.015 -3.791
Ga -9.368 0.572 -4.118
Ga -5.944 7.756 7.437
Ga -9.730 1.010 4.672
Ga -5.240 2.244 -1.291
Ga -6.240 2.492 7.260
Ga -4.974 -1.394 6.714
Ga -12.051 6.808 -1.799
Ga -8.506 2.505 -0.579
Ga -7.707 -1.939 7.693
Ga -4.532 2.229 9.656
Ga -5.024 -0.357 0.092
Ga -3.997 -1.472 9.921
Ga -8.364 -0.286 0.379
Ga -6.627 -2.469 10.822

***

(2)
14
Lattice="-0.619 2.489 -3.594 -8.768 2.098 0.250 -0.775 8.385 3.229" Properties=species:S:1:pos:R:3 comment="Tl3In2Ga9 (PBE, optimized geometry)" total_magnetization_mub_per_atom=0.00 dft_energy_ev_per_atom=-2.81 formation_energy_ev_per_atom=0.04 dos_at_fermi_per_ev_fu=5.32 pbc="T T T"
Tl 0.000 0.000 0.000
Tl -3.351 4.937 -1.428
Tl -6.811 8.035 1.314
In -3.480 7.746 0.540
In -6.682 5.226 -0.654
Ga -4.772 5.242 1.740
Ga -9.399 9.651 0.166
Ga -0.763 3.322 -0.280
Ga -7.413 11.213 0.906
Ga -2.749 1.760 -1.020
Ga -8.601 7.578 -1.407
Ga -1.561 5.394 1.293
Ga -5.001 10.410 -0.065
Ga -5.161 2.562 -0.049

***

(3)
13
Lattice="5.280 0.000 0.000 0.000 6.963 1.463 0.000 -0.334 9.568" Properties=species:S:1:pos:R:3 comment="Tl3In8Ga2 (PBE, optimized geometry)" total_magnetization_mub_per_atom=0.00 dft_energy_ev_per_atom=-2.66 formation_energy_ev_per_atom=0.03 dos_at_fermi_per_ev_fu=5.53 pbc="T T T"
Tl 2.640 0.000 0.000
Tl 0.000 1.805 0.931
Tl 0.000 4.824 10.101
In 0.000 2.400 4.177
In 5.280 4.229 6.854
In 5.280 5.722 3.863
In 0.000 0.907 7.168
In 2.640 6.017 7.756
In 2.640 2.934 8.713
In 2.640 3.695 2.319
In 2.640 0.612 3.275
Ga 2.640 4.595 5.102
Ga 2.640 2.033 5.930

***

(4)
16
Lattice="7.128 -0.016 0.000 0.014 7.128 0.000 0.000 0.000 8.493" Properties=species:S:1:pos:R:3 comment="TlIn14Ga (PBE, optimized geometry)" total_magnetization_mub_per_atom=0.00 dft_energy_ev_per_atom=-2.71 formation_energy_ev_per_atom=0.02 dos_at_fermi_per_ev_fu=7.68 pbc="T T T"
Tl 6.249 6.222 4.246
In 6.250 6.223 0.000
In 2.678 2.667 0.000
In 6.243 2.660 4.246
In 6.243 2.660 0.000
In 2.686 6.232 4.246
In 2.687 6.232 0.000
In 4.417 0.923 2.142
In 4.417 0.923 6.350
In 0.942 4.413 2.142
In 0.942 4.413 6.350
In 4.422 4.403 2.143
In 4.422 4.403 6.350
In 0.934 0.930 2.142
In 0.934 0.930 6.351
Ga 2.673 2.662 4.246

***

(5)
5
Lattice="-0.305 -5.651 -1.172 -0.661 -1.131 5.629 -5.733 0.431 -0.587" Properties=species:S:1:pos:R:3 comment="Tl3InGa (PBE, optimized geometry)" total_magnetization_mub_per_atom=0.00 dft_energy_ev_per_atom=-2.12 formation_energy_ev_per_atom=0.46 dos_at_fermi_per_ev_fu=3.67 pbc="T T T"
Tl -0.331 -0.566 2.814
Tl -2.866 0.216 -0.293
Tl -0.153 -2.825 -0.586
Ga -3.350 -3.175 1.935
In 0.000 0.000 0.000

***

(6)
7
Lattice="-0.880 -1.341 4.405 2.025 -4.140 -0.856 7.764 3.271 2.546" Properties=species:S:1:pos:R:3 comment="TlIn5Ga (PBE, optimized geometry)" total_magnetization_mub_per_atom=0.00 dft_energy_ev_per_atom=-2.68 formation_energy_ev_per_atom=0.05 dos_at_fermi_per_ev_fu=3.27 pbc="T T T"
Tl 0.000 0.000 0.000
In 0.573 -2.741 1.774
In 1.841 0.290 2.951
In 3.293 -1.109 0.320
In 5.044 1.640 4.001
In 6.496 0.240 1.370
Ga 3.882 1.636 1.273

***

(7)
10
Lattice="3.363 0.000 0.000 -1.681 8.211 -0.843 0.000 0.838 10.506" Properties=species:S:1:pos:R:3 comment="Tl5In4Ga (PBE, optimized geometry)" total_magnetization_mub_per_atom=0.00 dft_energy_ev_per_atom=-2.52 formation_energy_ev_per_atom=0.06 dos_at_fermi_per_ev_fu=3.54 pbc="T T T"
Tl 1.681 5.468 3.681
Tl 1.681 6.299 7.442
Tl 0.000 2.750 2.221
Tl 1.681 0.419 5.253
Tl 0.000 3.581 5.982
In 0.000 5.364 0.136
In 1.681 7.853 1.613
In 1.681 3.685 9.527
In 0.000 1.196 8.049
Ga 1.681 0.000 0.000

***

(8)
24
Lattice="-6.813 2.646 -8.327 -5.107 -1.039 3.849 1.821 8.001 4.576" Properties=species:S:1:pos:R:3 comment="Tl3InGa2 (PBE, optimized geometry)" total_magnetization_mub_per_atom=0.00 dft_energy_ev_per_atom=-2.57 formation_energy_ev_per_atom=0.08 dos_at_fermi_per_ev_fu=2.45 pbc="T T T"
Tl -7.488 0.386 1.047
Tl -2.644 3.385 2.832
Tl -2.611 9.223 -0.949
Tl -7.455 6.224 -2.734
Tl -4.948 0.897 -0.865
Tl -0.107 3.906 0.918
Tl -5.151 8.711 0.963
Tl -9.992 5.703 -0.820
Tl -9.268 3.219 -3.243
Tl -5.154 3.711 -3.105
Tl -0.831 6.390 3.342
Tl -4.945 5.898 3.203
In -6.922 5.777 0.586
In -5.703 9.149 -2.340
In -3.177 3.831 -0.488
In -4.396 0.460 2.438
Ga -7.360 3.148 -0.738
Ga -7.056 3.783 -5.615
Ga -2.739 6.460 0.836
Ga -3.043 5.826 5.714
Ga -5.638 3.145 1.516
Ga -1.936 1.146 0.435
Ga -4.461 6.463 -1.418
Ga -8.163 8.463 -0.337

***

(9)
5
Lattice="-4.419 1.013 1.891 0.353 -3.927 2.929 0.442 1.783 6.457" Properties=species:S:1:pos:R:3 comment="Tl2InGa2 (PBE, optimized geometry)" total_magnetization_mub_per_atom=0.00 dft_energy_ev_per_atom=-2.55 formation_energy_ev_per_atom=0.15 dos_at_fermi_per_ev_fu=1.98 pbc="T T T"
Tl -3.005 0.669 5.379
Tl -0.619 -1.801 5.898
Ga -1.497 -0.756 3.285
Ga -2.126 -0.375 7.991
In 0.000 0.000 0.000

***

(10)
11
Lattice="-3.109 -0.443 -1.435 -2.368 -1.952 1.581 -11.513 22.197 13.932" Properties=species:S:1:pos:R:3 comment="Tl3In6Ga2 (PBE, optimized geometry)" total_magnetization_mub_per_atom=0.00 dft_energy_ev_per_atom=-2.65 formation_energy_ev_per_atom=0.04 dos_at_fermi_per_ev_fu=5.17 pbc="T T T"
Tl 0.000 0.000 0.000
Tl -13.261 16.082 11.301
Tl -3.729 3.719 2.776
In -8.319 4.352 4.220
In -8.670 15.449 9.858
In -10.761 10.148 7.719
In -6.229 9.654 6.359
In -4.603 0.662 1.461
In -12.387 19.139 12.617
Ga -7.279 7.013 5.296
Ga -9.711 12.788 8.782

***

(11)
11
Lattice="-0.580 -0.234 3.422 0.512 -8.375 -0.487 10.324 1.754 1.871" Properties=species:S:1:pos:R:3 comment="Tl5In4Ga2 (PBE, optimized geometry)" total_magnetization_mub_per_atom=0.00 dft_energy_ev_per_atom=-2.58 formation_energy_ev_per_atom=0.04 dos_at_fermi_per_ev_fu=4.28 pbc="T T T"
Tl 3.658 -3.903 0.353
Tl 1.467 -1.080 0.175
Tl 0.256 -4.187 -0.243
Tl 9.370 -5.541 1.210
Tl 7.178 -2.718 1.031
In 6.034 -5.607 2.408
In 8.564 -0.197 3.207
In 4.222 -1.248 2.399
In 1.692 -6.658 1.599
Ga 6.471 0.431 1.127
Ga 4.365 -7.052 0.258

***

(12)
3
Lattice="4.921 0.000 0.000 2.460 4.262 0.000 2.460 1.421 4.018" Properties=species:S:1:pos:R:3 comment="TlInGa (PBE, optimized geometry)" total_magnetization_mub_per_atom=0.00 dft_energy_ev_per_atom=-2.61 formation_energy_ev_per_atom=0.10 dos_at_fermi_per_ev_fu=3.17 pbc="T T T"
Tl 0.000 0.000 0.000
Ga 2.460 1.421 1.004
In 4.921 2.841 2.009